[1]
The following is a DFT calculation (PBE) of crystalline NdHo12Tm5 at its relaxed geometry.

Cell: 6.116 10.593 17.247 Å, 90.00 96.79 90.00°
Space group C2/m (No. 12)
Asymmetric unit:
Nd  0.000  0.000  0.000
Ho  0.111  0.000  0.333
Ho  0.111  0.333  0.334
Ho  0.221  0.500  0.167
Ho  0.223  0.167  0.167
Tm  0.000  0.166  0.500
Tm  0.000  0.333  0.000
Tm  0.000  0.500  0.500

Results
Calculated formation energy (eV per atom): 0.01
Energy (eV per atom): -4.55

***

[2]
The following is a DFT calculation (PBE) of crystalline Sm2ErThAs4 at its relaxed geometry.

Cell: 7.249 4.201 7.272 Å, 90.00 109.46 90.00°
Space group P2/m (No. 10)
Asymmetric unit:
Sm  0.000  0.000  0.000
Sm  0.500  0.500  0.000
Er  0.000  0.500  0.500
Th  0.500  0.000  0.500
As  0.244  0.000  0.744
As  0.246  0.500  0.252

Results
Calculated formation energy (eV per atom): -1.51
Energy (eV per atom): -6.51

***

[3]
The following is a DFT calculation (PBE) of crystalline H2ClF at its relaxed geometry.

Cell: 3.4172 3.4172 13.4139 Å, 90.00 90.00 120.00°
Space group R-3m (No. 166, hexagonal axes)
Asymmetric unit:
H  0.0000  0.0000  0.0782
Cl  0.0000  0.0000  0.5000
F  0.0000  0.0000  0.0000

Results
Energy (eV per atom): -3.12
Excess energy over the best structure of this formula in the dataset (eV/f.u.): 1.94

***

[4]
The following is a DFT calculation (PBE) of crystalline Tb6Dy3Tm2Sc at its relaxed geometry.

Cell: 6.104 10.562 11.632 Å, 90.00 100.04 90.00°
Space group C2/m (No. 12)
Asymmetric unit:
Tb  0.247  0.166  0.246
Tb  0.249  0.000  0.754
Dy  0.000  0.167  0.500
Dy  0.000  0.500  0.500
Tm  0.000  0.333  0.000
Sc  0.000  0.000  0.000

Results
Calculated formation energy (eV per atom): 0.03
Energy (eV per atom): -4.71

***

[5]
The following is a DFT calculation (PBE) of crystalline Ca2LaZn2 at its relaxed geometry.

Cell: 8.884 8.884 3.424 Å, 90.00 90.00 90.00°
Space group P4/mbm (No. 127)
Asymmetric unit:
Ca  0.132  0.368  0.000
La  0.000  0.000  0.000
Zn  0.166  0.666  0.500

Results
Calculated formation energy (eV per atom): -0.09
Energy (eV per atom): -2.39
Excess energy over the best structure of this formula in the dataset (eV/f.u.): 0.44